## CaCrP2 (PBE-GGA)

Data for a relaxed structure of CaCrP2.

## Properties
The energy above the lowest structure with this stoichiometry is 0.840 eV/f.u. The value obtained for the calculated formation energy is -423 meV per atom. The value obtained for the total energy is -6.03 eV/atom.

Cell: 6.7410 6.7410 7.5230 Å, 90.00 90.00 90.00°
Last column: nearest neighbours and their distance in Å.
Space group I-42d (No. 122)
One atom of each set of equivalent atoms:
Ca  0.0000  0.0000  0.0000 (multiplicity 4)  4 P 2.91
Cr  0.0000  0.0000  0.5000 (multiplicity 4)  4 P 2.27
P  0.1775  0.7500  0.6250 (multiplicity 8)  2 Cr 2.27



## ThZr2NbC4 (PBE-GGA)

Data for a relaxed structure of ThZr2NbC4.

## Properties
The value obtained for the calculated formation energy is -327 meV per atom. The value obtained for the total energy is -9.26 eV/atom.

Cell: 3.4247 11.9155 11.8939 Å, 90.00 90.00 90.00°
Last column: nearest neighbours and their distance in Å.
Space group Cmcm (No. 63)
One atom of each set of equivalent atoms:
Th  0.0000  0.1206  0.2500 (multiplicity 4)  6 C 2.59-2.75
Zr  0.0000  0.3691  0.0341 (multiplicity 8)  5 C 2.24-2.48
Nb  0.0000  0.1457  0.7500 (multiplicity 4)  4 C 2.06-2.10
C  0.0000  0.0000  0.0000 (multiplicity 4)  4 Zr 2.35
C  0.0000  0.2568  0.6171 (multiplicity 8)  1 Nb 2.06, 1 Zr 2.24
C  0.0000  0.4570  0.2500 (multiplicity 4)  2 Nb 2.10



## CsBa3Mg (PBE-GGA)

Data for a relaxed structure of CsBa3Mg.

## Properties
The energy above the lowest structure with this stoichiometry is 0.000 eV/f.u. The value obtained for the calculated formation energy is 182 meV per atom. The value obtained for the total energy is -1.46 eV/atom.

Cell: 7.0871 7.0871 7.0871 Å, 90.00 90.00 90.00°
Last column: nearest neighbours and their distance in Å.
Space group Pm-3m (No. 221)
One atom of each set of equivalent atoms:
Cs  0.0000  0.0000  0.0000 (multiplicity 1)  12 Ba 5.01
Ba  0.0000  0.5000  0.5000 (multiplicity 3)  2 Mg 3.54
Mg  0.5000  0.5000  0.5000 (multiplicity 1)  6 Ba 3.54



## Pu3Ga3Cu2 (PBE-GGA)

Data for a relaxed structure of Pu3Ga3Cu2.

## Properties
The energy above the lowest structure with this stoichiometry is 0.000 eV/f.u. The value obtained for the calculated formation energy is -190 meV per atom. The value obtained for the total energy is -7.72 eV/atom.

Cell: 16.4062 4.3769 4.5155 Å, 90.00 105.94 90.00°
Last column: nearest neighbours and their distance in Å.
Space group C2/m (No. 12)
One atom of each set of equivalent atoms:
Pu  0.0000  0.0000  0.0000 (multiplicity 2)  4 Pu 3.07, 8 Ga 3.14-3.29
Pu  0.1321  0.0000  0.6314 (multiplicity 4)  4 Cu 2.87-2.93, 6 Ga 3.02-3.17, 2 Pu 3.07
Ga  0.0000  0.5000  0.5000 (multiplicity 2)  8 Pu 3.02-3.14, 4 Ga 3.34
Ga  0.1559  0.5000  0.1564 (multiplicity 4)  4 Cu 2.59-2.76
Cu  0.2443  0.0000  0.2427 (multiplicity 4)  4 Ga 2.59-2.76, 2 Pu 2.87



## ZrGeSeN2 (PBE-GGA)

Data for a relaxed structure of ZrGeSeN2.

## Properties
The energy above the lowest structure with this stoichiometry is 0.000 eV/f.u. The formation energy without anion corrections comes out at 0.3230 eV per atom. The value obtained for the total energy is -6.34 eV/atom.

Cell: 4.1461 4.1461 5.6142 Å, 90.00 90.00 90.00°
Last column: nearest neighbours and their distance in Å.
Space group P4/mmm (No. 123)
One atom of each set of equivalent atoms:
Zr  0.0000  0.0000  0.0000 (multiplicity 1)  4 N 2.07
Ge  0.5000  0.5000  0.5000 (multiplicity 1)  4 Se 2.93
Se  0.0000  0.0000  0.5000 (multiplicity 1)  2 Zr 2.81, 4 Ge 2.93
N  0.0000  0.5000  0.0000 (multiplicity 2)  2 Zr 2.07



## Ba3GeI (PBE-GGA)

Data for a relaxed structure of Ba3GeI.

## Properties
The energy above the lowest structure with this stoichiometry is 0.955 eV/f.u. The formation energy without anion corrections comes out at -0.5716 eV per atom. The value obtained for the total energy is -2.96 eV/atom.

Cell: 6.4760 6.4760 6.4760 Å, 90.00 90.00 90.00°
Last column: nearest neighbours and their distance in Å.
Space group Pm-3m (No. 221)
One atom of each set of equivalent atoms:
Ba  0.0000  0.0000  0.5000 (multiplicity 3)  2 Ge 3.24
Ge  0.0000  0.0000  0.0000 (multiplicity 1)  6 Ba 3.24
I  0.5000  0.5000  0.5000 (multiplicity 1)  12 Ba 4.58



## KGe (PBE-GGA)

Data for a relaxed structure of KGe.

## Properties
The energy above the lowest structure with this stoichiometry is 2.276 eV/f.u. The value obtained for the calculated formation energy is 925 meV per atom. The value obtained for the total energy is -1.93 eV/atom.

Cell: 9.9030 9.9030 9.9030 Å, 90.00 90.00 90.00°
Last column: nearest neighbours and their distance in Å.
Space group Pm-3n (No. 223)
One atom of each set of equivalent atoms:
K  0.0000  0.2500  0.5000 (multiplicity 6)  4 Ge 3.50
Ge  0.0000  0.5000  0.2500 (multiplicity 6)  4 K 3.50



## Mg14VW (PBE-GGA)

Data for a relaxed structure of Mg14VW.

## Properties
The energy above the lowest structure with this stoichiometry is 0.431 eV/f.u. The value obtained for the calculated formation energy is 217 meV per atom. The value obtained for the total energy is -2.56 eV/atom.

Cell: 6.2408 6.2408 9.9901 Å, 90.00 90.00 120.00°
Last column: nearest neighbours and their distance in Å.
Space group P-6m2 (No. 187)
One atom of each set of equivalent atoms:
Mg  0.0000  0.0000  0.2484 (multiplicity 2)  12 Mg 3.08-3.12
Mg  0.0156  0.5078  0.2558 (multiplicity 6)  10 Mg 2.97-3.27, 1 W 2.98, 1 V 3.08
Mg  0.3343  0.1671  0.5000 (multiplicity 3)  10 Mg 3.06-3.13, 2 W 3.12
Mg  0.3378  0.1689  0.0000 (multiplicity 3)  10 Mg 3.08-3.16, 2 V 3.12
V  0.3333  0.6667  0.0000 (multiplicity 1)  12 Mg 3.08-3.12
W  0.3333  0.6667  0.5000 (multiplicity 1)  12 Mg 2.98-3.12